DFT (SCAN) results for a crystal of Fe2TcRu relaxed with PBEsol.

abc: 2.593 3.584 5.152
angles: 90.00 90.00 90.00
Site moments in Bohr magnetons follow the coordinates.
Fractional positions:
Tc (0.500, 0.500, 0.768)  -0.49
Ru (0.000, 0.000, 0.485)  0.04
Fe (0.500, 0.500, 0.235)  2.40
Fe (0.000, 0.000, 0.012)  2.09

## Properties
* N(E_F): 3.8 states/eV per cell
* ΔH_f (0 K): 0.166 eV/atom
* total magnetization: 4.0 μB per cell
* E above lowest polymorph: 0.120 eV/atom
* symmetry: Pmm2 (25)